VASP calculation (PBE-GGA) on an optimized crystal structure of CeDy3In.

a = 4.8766 Å, b = 24.6168 Å, c = 4.8704 Å
α = 90.00°, β = 90.00°, γ = 90.00°
With the nearest neighbours (Å) after each atom.
Space group Cmcm (No. 63)
Symmetry-distinct sites (fractional):
Ce 0.0000 0.1485 0.2500 (multiplicity 4)  8 Dy 3.37-3.49, 4 In 3.45
Dy 0.0000 0.0491 0.7500 (multiplicity 4)  8 Dy 3.43-3.52, 2 Ce 3.45, 2 In 3.54
Dy 0.0000 0.2499 0.7500 (multiplicity 4)  4 In 3.41, 4 Dy 3.45, 4 Ce 3.49
Dy 0.0000 0.4460 0.7500 (multiplicity 4)  2 Ce 3.37, 8 Dy 3.45-3.60, 2 In 3.45
In 0.0000 0.3468 0.2500 (multiplicity 4)  8 Dy 3.41-3.54, 4 Ce 3.45

Summary:
For the formation energy, the calculation gives -12 kJ per mole of atoms. The total energy comes out at -4.615 eV per atom. The spin magnetization is 5.6 μB/cell.